(1)
First-principles (PBE-GGA) data for a relaxed structure of ZrMn, as listed in the Alexandria database.

Summary:
* crystal system: orthorhombic
* DOS(E_F): 2.58 states/eV/f.u.
* E_tot: -0.318 Ha/atom
* calculated formation energy: 199 meV/atom

Lattice parameters (Å, degrees): 5.463 9.468 4.318 90.00 90.00 90.00
Space group Cmmm (No. 65)
Inequivalent atoms, fractional coordinates:
1 Zr 0.000 0.000 0.000 x2
2 Zr 0.000 0.334 0.500 x4
3 Mn 0.000 0.500 0.000 x2
4 Mn 0.250 0.250 0.000 x4

(2)
First-principles (PBE-GGA) data for a relaxed structure of Zr5Mn, as listed in the Alexandria database.

Summary:
* crystal system: monoclinic
* DOS(E_F): 6.81 states/eV/f.u.
* E_tot: -0.317 Ha/atom
* calculated formation energy: 12 meV/atom

Lattice parameters (Å, degrees): 10.927 3.294 7.403 90.00 109.38 90.00
Space group Cm (No. 8)
Inequivalent atoms, fractional coordinates:
1 Zr 0.000 0.000 0.000 x2
2 Zr 0.033 0.000 0.445 x2
3 Zr 0.192 0.500 0.826 x2
4 Zr 0.226 0.500 0.271 x2
5 Zr 0.363 0.000 0.636 x2
6 Mn 0.361 0.000 0.133 x2

(3)
First-principles (PBE-GGA) data for a relaxed structure of Zr5Mn, as listed in the Alexandria database.

Summary:
* crystal system: orthorhombic
* DOS(E_F): 4.00 states/eV/f.u.
* E_tot: -0.318 Ha/atom
* calculated formation energy: 6 meV/atom

Lattice parameters (Å, degrees): 4.994 15.360 3.298 90.00 90.00 90.00
Space group Cmmm (No. 65)
Inequivalent atoms, fractional coordinates:
1 Zr 0.000 0.000 0.000 x2
2 Zr 0.000 0.183 0.500 x4
3 Zr 0.000 0.368 0.000 x4
4 Mn 0.000 0.500 0.500 x2

Repeat the third record exactly.
First-principles (PBE-GGA) data for a relaxed structure of Zr5Mn, as listed in the Alexandria database.

Summary:
* crystal system: orthorhombic
* DOS(E_F): 4.00 states/eV/f.u.
* E_tot: -0.318 Ha/atom
* calculated formation energy: 6 meV/atom

Lattice parameters (Å, degrees): 4.994 15.360 3.298 90.00 90.00 90.00
Space group Cmmm (No. 65)
Inequivalent atoms, fractional coordinates:
1 Zr 0.000 0.000 0.000 x2
2 Zr 0.000 0.183 0.500 x4
3 Zr 0.000 0.368 0.000 x4
4 Mn 0.000 0.500 0.500 x2

Look up the E_tot of the first one.
-0.318 Ha/atom

Number 1 is which compound?
ZrMn

Look up the calculated formation energy of the third one.
6 meV/atom